Here is a geometry-optimized SmGdSn2Pd4 structure from OQMD via LeMat-Bulk. Energies are from PBE.

Electronic total energy = -5.631 eV per atom
Size of the total moment = 0.000 μB per atom

```
data_SmGdSn2Pd4
_chemical_formula_sum 'Sm1 Gd1 Sn2 Pd4'
_cell_length_a 4.6134
_cell_length_b 4.6134
_cell_length_c 9.0464
_cell_angle_alpha 90.00
_cell_angle_beta 90.00
_cell_angle_gamma 120.00
_space_group_name_H-M_alt 'P -6 m 2'
_space_group_IT_number 187
_space_group_name_Hall 'P -6 2'
loop_
_atom_site_label
_atom_site_type_symbol
_atom_site_fract_x
_atom_site_fract_y
_atom_site_fract_z
_atom_site_occupancy
Sm1 Sm 0.0000 0.0000 0.0000 1
Gd1 Gd 0.6667 0.3333 0.5000 1
Sn1 Sn 0.3333 0.6667 0.2537 1
Pd1 Pd 0.0000 0.0000 0.3361 1
Pd2 Pd 0.6667 0.3333 0.1675 1
```

---

Here is a geometry-optimized CsCu3Te4Mo structure from OQMD via LeMat-Bulk. Energies are from PBE.

Electronic total energy = -3.908 eV per atom
Size of the total moment = 0.222 μB per atom

```
data_CsCu3Te4Mo
_chemical_formula_sum 'Cs1 Cu3 Te4 Mo1'
_cell_length_a 6.741
_cell_length_b 6.741
_cell_length_c 6.741
_cell_angle_alpha 90.00
_cell_angle_beta 90.00
_cell_angle_gamma 90.00
_space_group_name_H-M_alt 'P -4 3 m'
_space_group_IT_number 215
_space_group_name_Hall 'P -4 2 3'
loop_
_atom_site_label
_atom_site_type_symbol
_atom_site_fract_x
_atom_site_fract_y
_atom_site_fract_z
_atom_site_occupancy
Cs1 Cs 0.000 0.000 0.000 1
Cu1 Cu 0.000 0.500 0.500 1
Te1 Te 0.280 0.280 0.280 1
Mo1 Mo 0.500 0.500 0.500 1
```

---

Here is a geometry-optimized CsTmU structure from OQMD via LeMat-Bulk. Energies are from PBE.

Polymorph energy (0 for the lowest one) = 0.0532 eV/atom
Size of the total moment = 1.188 μB per atom

```
data_CsTmU
_chemical_formula_sum 'Cs4 Tm4 U4'
_cell_length_a 7.541
_cell_length_b 7.541
_cell_length_c 7.541
_cell_angle_alpha 90.00
_cell_angle_beta 90.00
_cell_angle_gamma 90.00
_space_group_name_H-M_alt 'F -4 3 m'
_space_group_IT_number 216
_space_group_name_Hall 'F -4 2 3'
loop_
_atom_site_label
_atom_site_type_symbol
_atom_site_fract_x
_atom_site_fract_y
_atom_site_fract_z
_atom_site_occupancy
Cs1 Cs 0.000 0.000 0.000 1
Tm1 Tm 0.250 0.250 0.750 1
U1 U 0.250 0.250 0.250 1
```

---

Here is a geometry-optimized ZnN structure from OQMD via LeMat-Bulk. Energies are from PBE.

Polymorph energy (0 for the lowest one) = 0.0000 eV/atom

```
data_ZnN
_chemical_formula_sum 'Zn4 N4'
_cell_length_a 4.560
_cell_length_b 4.560
_cell_length_c 4.560
_cell_angle_alpha 90.00
_cell_angle_beta 90.00
_cell_angle_gamma 90.00
_space_group_name_H-M_alt 'F -4 3 m'
_space_group_IT_number 216
_space_group_name_Hall 'F -4 2 3'
loop_
_atom_site_label
_atom_site_type_symbol
_atom_site_fract_x
_atom_site_fract_y
_atom_site_fract_z
_atom_site_occupancy
Zn1 Zn 0.000 0.000 0.000 1
N1 N 0.250 0.250 0.250 1
```

---

Here is a geometry-optimized PuSiBi structure from OQMD via LeMat-Bulk. Energies are from PBE.

Polymorph energy (0 for the lowest one) = 0.0000 eV/atom
Size of the total moment = 1.941 μB per atom

```
data_PuSiBi
_chemical_formula_sum 'Pu4 Si4 Bi4'
_cell_length_a 6.912
_cell_length_b 6.912
_cell_length_c 6.912
_cell_angle_alpha 90.00
_cell_angle_beta 90.00
_cell_angle_gamma 90.00
_space_group_name_H-M_alt 'F -4 3 m'
_space_group_IT_number 216
_space_group_name_Hall 'F -4 2 3'
loop_
_atom_site_label
_atom_site_type_symbol
_atom_site_fract_x
_atom_site_fract_y
_atom_site_fract_z
_atom_site_occupancy
Pu1 Pu 0.000 0.000 0.000 1
Si1 Si 0.250 0.250 0.750 1
Bi1 Bi 0.000 0.000 0.500 1
```

---

Here is a geometry-optimized Er3Ta3Mo2N12 structure from OQMD via LeMat-Bulk. Energies are from PBE.

Electronic total energy = -9.427 eV per atom
Size of the total moment = 0.000 μB per atom

```
data_Er3Ta3Mo2N12
_chemical_formula_sum 'Er24 Ta24 Mo16 N96'
_cell_length_a 12.731
_cell_length_b 12.731
_cell_length_c 12.731
_cell_angle_alpha 90.00
_cell_angle_beta 90.00
_cell_angle_gamma 90.00
_space_group_name_H-M_alt 'I a -3 d'
_space_group_IT_number 230
_space_group_name_Hall '-I 4bd 2c 3'
loop_
_atom_site_label
_atom_site_type_symbol
_atom_site_fract_x
_atom_site_fract_y
_atom_site_fract_z
_atom_site_occupancy
Er1 Er 0.000 0.250 0.125 1
Ta1 Ta 0.000 0.250 0.375 1
Mo1 Mo 0.000 0.000 0.000 1
N1 N 0.029 0.056 0.647 1
```

---

Here is a geometry-optimized Ho2Co17 structure from OQMD via LeMat-Bulk. Energies are from PBE.

Energy relative to the elements = 0.077 eV/atom
Size of the total moment = 0.008 μB per atom

```
data_Ho2Co17
_chemical_formula_sum 'Ho4 Co34'
_cell_length_a 8.2455
_cell_length_b 8.2455
_cell_length_c 8.0582
_cell_angle_alpha 90.00
_cell_angle_beta 90.00
_cell_angle_gamma 120.00
_space_group_name_H-M_alt 'P 63/m m c'
_space_group_IT_number 194
_space_group_name_Hall '-P 6c 2c'
loop_
_atom_site_label
_atom_site_type_symbol
_atom_site_fract_x
_atom_site_fract_y
_atom_site_fract_z
_atom_site_occupancy
Ho1 Ho 0.0000 0.0000 0.2500 1
Ho2 Ho 0.3333 0.6667 0.2500 1
Co1 Co 0.0000 0.5000 0.0000 1
Co2 Co 0.0455 0.3738 0.7500 1
Co3 Co 0.1664 0.3328 0.0220 1
Co4 Co 0.3333 0.6667 0.6063 1
```

---

Here is a geometry-optimized DyMgPb structure from OQMD via LeMat-Bulk. Energies are from PBE.

Electronic total energy = -3.431 eV per atom
Size of the total moment = 0.000 μB per atom

```
data_DyMgPb
_chemical_formula_sum 'Dy4 Mg4 Pb4'
_cell_length_a 7.063
_cell_length_b 7.063
_cell_length_c 7.063
_cell_angle_alpha 90.00
_cell_angle_beta 90.00
_cell_angle_gamma 90.00
_space_group_name_H-M_alt 'F -4 3 m'
_space_group_IT_number 216
_space_group_name_Hall 'F -4 2 3'
loop_
_atom_site_label
_atom_site_type_symbol
_atom_site_fract_x
_atom_site_fract_y
_atom_site_fract_z
_atom_site_occupancy
Dy1 Dy 0.000 0.000 0.000 1
Mg1 Mg 0.000 0.000 0.500 1
Pb1 Pb 0.250 0.250 0.250 1
```